[1]
First-principles (PBE) data for an optimized crystal structure of Sm4TmHg3, as listed in Alexandria via LeMat-Bulk.

The space group is P4/mmm (No. 123) and the conventional cell measures 4.920, 4.920 and 9.209 Å, with angles of 90.00, 90.00 and 90.00 degrees. The asymmetric unit holds Sm at (0.000, 0.500, 0.235), Tm at (0.000, 0.000, 0.500), Hg at (0.000, 0.000, 0.000), Hg at (0.500, 0.500, 0.000) and Hg at (0.500, 0.500, 0.500).

The magnetic moment comes out at 0.0 μB per formula unit. The calculation puts the total energy at -26.5 eV per cell. As for the formation energy: -27.4 kJ per mole of atoms. The calculation puts the theoretical density at 10.2 g/cm³.


[2]
First-principles (PBE) data for an optimized crystal structure of Sm6TmHg5, as listed in Alexandria via LeMat-Bulk.

The space group is Immm (No. 71) and the conventional cell measures 5.261, 7.897 and 16.159 Å, with angles of 90.00, 90.00 and 90.00 degrees. The asymmetric unit holds Sm at (0.000, 0.227, 0.000), Sm at (0.000, 0.254, 0.328), Tm at (0.000, 0.000, 0.500), Hg at (0.000, 0.000, 0.171), Hg at (0.000, 0.500, 0.146) and Hg at (0.000, 0.500, 0.500).

The magnetic moment comes out at 0.0 μB per formula unit. The calculation puts the total energy at -77.0 eV per cell. As for the formation energy: -33.6 kJ per mole of atoms. The calculation puts the theoretical density at 10.3 g/cm³.


[3]
First-principles (PBE) data for an optimized crystal structure of SmTm5Hg3, as listed in Alexandria via LeMat-Bulk.

The space group is P6_3/mcm (No. 193) and the conventional cell measures 8.9916, 8.9916 and 6.8918 Å, with angles of 90.00, 90.00 and 120.00 degrees. The asymmetric unit holds Sm at (0.0000, 0.0000, 0.0000), Tm at (0.0000, 0.3344, 0.2500), Tm at (0.3333, 0.6667, 0.0000) and Hg at (0.0000, 0.3353, 0.7500).

The magnetic moment comes out at 0.0 μB per formula unit. The calculation puts the total energy at -61.4 eV per cell. As for the formation energy: -29.1 kJ per mole of atoms. The calculation puts the theoretical density at 11.0 g/cm³.


[4]
First-principles (PBE) data for an optimized crystal structure of Sm4Tm5Hg, as listed in Alexandria via LeMat-Bulk.

The space group is P4/mmm (No. 123) and the conventional cell measures 3.568, 3.568 and 23.969 Å, with angles of 90.00, 90.00 and 90.00 degrees. The asymmetric unit holds Sm at (0.000, 0.000, 0.104), Sm at (0.000, 0.000, 0.313), Tm at (0.500, 0.500, 0.000), Tm at (0.500, 0.500, 0.209), Tm at (0.500, 0.500, 0.418) and Hg at (0.000, 0.000, 0.500).

The magnetic moment comes out at 0.0 μB per formula unit. The calculation puts the total energy at -42.3 eV per cell. As for the formation energy: -7.7 kJ per mole of atoms. The calculation puts the theoretical density at 9.0 g/cm³.


[5]
First-principles (PBE) data for an optimized crystal structure of SmTm3Hg12, as listed in Alexandria via LeMat-Bulk.

The space group is P4/mmm (No. 123) and the conventional cell measures 4.501, 4.501 and 19.223 Å, with angles of 90.00, 90.00 and 90.00 degrees. The asymmetric unit holds Sm at (0.000, 0.000, 0.000), Tm at (0.000, 0.000, 0.253), Tm at (0.000, 0.000, 0.500), Hg at (0.000, 0.500, 0.128), Hg at (0.000, 0.500, 0.376), Hg at (0.500, 0.500, 0.000), Hg at (0.500, 0.500, 0.252) and Hg at (0.500, 0.500, 0.500).

The magnetic moment comes out at 0.0 μB per formula unit. The calculation puts the total energy at -26.5 eV per cell. As for the formation energy: -28.5 kJ per mole of atoms. The calculation puts the theoretical density at 13.1 g/cm³.


[6]
First-principles (PBE) data for an optimized crystal structure of Sm3TmHg6, as listed in Alexandria via LeMat-Bulk.

The space group is P2_1/m (No. 11) and the conventional cell measures 9.301, 5.179 and 11.210 Å, with angles of 90.00, 106.53 and 90.00 degrees. The asymmetric unit holds Sm at (0.013, 0.250, 0.386), Sm at (0.147, 0.750, 0.211), Sm at (0.273, 0.250, 0.991), Tm at (0.442, 0.250, 0.601), Hg at (0.034, 0.750, 0.914), Hg at (0.166, 0.250, 0.698), Hg at (0.266, 0.750, 0.502), Hg at (0.351, 0.250, 0.310), Hg at (0.355, 0.750, 0.815) and Hg at (0.440, 0.750, 0.116).

The magnetic moment comes out at 0.0 μB per formula unit. The calculation puts the total energy at -49.4 eV per cell. As for the formation energy: -41.0 kJ per mole of atoms. The calculation puts the theoretical density at 11.7 g/cm³.


[7]
First-principles (PBE) data for an optimized crystal structure of SmTmHg, as listed in Alexandria via LeMat-Bulk.

The space group is I4mm (No. 107) and the conventional cell measures 3.625, 3.625 and 12.875 Å, with angles of 90.00, 90.00 and 90.00 degrees. The asymmetric unit holds Sm at (0.000, 0.000, 0.000), Tm at (0.000, 0.000, 0.308) and Hg at (0.000, 0.000, 0.666).

The magnetic moment comes out at 0.8 μB per formula unit. The calculation puts the total energy at -20.8 eV per cell. For the energy above the most stable polymorph in this dataset, the calculation gives 21.3 meV/atom. As for the formation energy: -28.9 kJ per mole of atoms. The calculation puts the theoretical density at 10.2 g/cm³.


[8]
First-principles (PBE) data for an optimized crystal structure of SmTm3Hg2, as listed in Alexandria via LeMat-Bulk.

The space group is Pmc2_1 (No. 26) and the conventional cell measures 5.054, 9.179 and 7.095 Å, with angles of 90.00, 90.00 and 90.00 degrees. The asymmetric unit holds Sm at (0.000, 0.057, 0.000), Tm at (0.000, 0.328, 0.651), Tm at (0.500, 0.180, 0.317), Tm at (0.500, 0.443, 0.967), Hg at (0.000, 0.354, 0.226) and Hg at (0.500, 0.150, 0.742).

The magnetic moment comes out at 0.0 μB per formula unit. The calculation puts the total energy at -41.7 eV per cell. For the energy above the most stable polymorph in this dataset, the calculation gives 0.0 meV/atom. As for the formation energy: -34.2 kJ per mole of atoms. The calculation puts the theoretical density at 10.7 g/cm³.